1.
Entry from Alexandria via LeMat-Bulk: a relaxed Fe3AgCl12 crystal (GGA-PBE).

abc: 11.809 11.809 11.534
angles: 59.21 59.21 60.00
Last column: magnetic moment on the atom in μB.
Element x y z (fractional)
1 Cl 0.386 0.147 0.974  0.18
2 Cl 0.147 0.493 0.974  0.18
3 Cl 0.408 0.040 0.310  0.20
4 Cl 0.501 0.664 0.521  0.10
5 Cl 0.993 0.647 0.474  0.18
6 Cl 0.242 0.408 0.310  0.20
7 Cl 0.040 0.242 0.310  0.20
8 Cl 0.787 0.616 0.192  0.12
9 Cl 0.664 0.314 0.521  0.10
10 Cl 0.116 0.287 0.692  0.12
11 Cl 0.001 0.814 0.021  0.10
12 Cl 0.814 0.164 0.021  0.10
13 Cl 0.904 0.116 0.692  0.12
14 Cl 0.404 0.787 0.192  0.12
15 Cl 0.493 0.386 0.974  0.18
16 Cl 0.540 0.908 0.810  0.20
17 Cl 0.742 0.540 0.810  0.20
18 Cl 0.287 0.904 0.692  0.12
19 Cl 0.647 0.886 0.474  0.18
20 Cl 0.314 0.501 0.521  0.10
21 Cl 0.164 0.001 0.021  0.10
22 Cl 0.616 0.404 0.192  0.12
23 Cl 0.908 0.742 0.810  0.20
24 Cl 0.886 0.993 0.474  0.18
25 Fe 0.878 0.168 0.493  3.38
26 Fe 0.378 0.961 0.993  3.38
27 Fe 0.961 0.668 0.993  3.38
28 Fe 0.461 0.878 0.493  3.38
29 Fe 0.168 0.461 0.493  3.38
30 Fe 0.668 0.378 0.993  3.38
31 Ag 0.052 0.052 0.843  -0.11
32 Ag 0.552 0.552 0.343  -0.11

Results
As for the space group: No. 161. As for the calculated volume: 35.11 A^3/atom. The energy relative to the elements, uncorrected is -0.61 eV per atom. The total energy is -3.7562 eV per atom.

***

2.
Entry from Alexandria via LeMat-Bulk: a relaxed ZnOs2AuBr crystal (GGA-PBE).

abc: 4.571 4.730 4.571
angles: 90.00 90.00 90.00
Last column: magnetic moment on the atom in μB.
Element x y z (fractional)
1 Os 0.000 0.000 0.500  0.29
2 Os 0.500 0.000 0.000  0.40
3 Zn 0.000 0.500 0.000  -0.01
4 Br 0.000 0.000 0.000  0.00
5 Au 0.500 0.500 0.500  0.03

Results
As for the space group: No. 123. As for the calculated volume: 19.76 A^3/atom. The energy relative to the elements, uncorrected is 2.04 eV per atom. The total energy is -3.6963 eV per atom.

***

3.
Entry from Alexandria via LeMat-Bulk: a relaxed HfMgCoCu crystal (GGA-PBE).

abc: 4.421 4.421 4.421
angles: 60.00 60.00 60.00
Element x y z (fractional)
1 Cu 0.750 0.750 0.750
2 Co 0.250 0.250 0.250
3 Hf 0.500 0.500 0.500
4 Mg 0.000 0.000 0.000

Results
As for the space group: No. 216. As for the calculated volume: 15.28 A^3/atom. As for the formation energy: -139.8 meV per atom. The total energy is -5.8273 eV per atom.

***

4.
Entry from Alexandria via LeMat-Bulk: a relaxed Ac2MnGa4Pd3 crystal (GGA-PBE).

abc: 4.428 4.428 10.613
angles: 90.00 90.00 90.00
Last column: magnetic moment on the atom in μB.
Element x y z (fractional)
1 Pd 0.500 0.000 0.871  -0.01
2 Pd 0.000 0.000 0.500  -0.03
3 Pd 0.000 0.500 0.129  -0.01
4 Ga 0.000 0.000 0.000  0.00
5 Ga 0.000 0.500 0.376  -0.12
6 Ga 0.500 0.000 0.624  -0.12
7 Ga 0.500 0.500 0.000  0.00
8 Ac 0.500 0.000 0.251  -0.04
9 Ac 0.000 0.500 0.749  -0.04
10 Mn 0.500 0.500 0.500  3.26

Results
As for the space group: No. 115. As for the calculated volume: 20.81 A^3/atom. As for the formation energy: -651.4 meV per atom. The total energy is -5.1587 eV per atom.

***

5.
Entry from Alexandria via LeMat-Bulk: a relaxed Tb4Pr5Tm crystal (GGA-PBE).

abc: 3.624 10.562 9.364
angles: 84.09 101.16 90.00
Element x y z (fractional)
1 Pr 0.141 0.772 0.282
2 Pr 0.500 0.500 0.000
3 Pr 0.859 0.228 0.718
4 Pr 0.190 0.400 0.380
5 Pr 0.810 0.600 0.620
6 Tb 0.955 0.765 0.909
7 Tb 0.045 0.235 0.091
8 Tb 0.318 0.914 0.636
9 Tb 0.682 0.086 0.364
10 Tm 0.500 0.000 0.000

Results
As for the space group: No. 12. As for the calculated volume: 34.97 A^3/atom. As for the formation energy: 136.9 meV per atom. The total energy is -4.5521 eV per atom. As for the energy above the lowest structure with this stoichiometry: 0.119 eV/atom.

***

6.
Entry from Alexandria via LeMat-Bulk: a relaxed MgTc2Ni crystal (GGA-PBE).

abc: 5.086 5.086 5.086
angles: 142.99 133.36 60.98
Element x y z (fractional)
1 Ni 0.250 0.750 0.500
2 Tc 0.007 0.007 0.000
3 Tc 0.493 0.493 0.000
4 Mg 0.750 0.250 0.500

Results
As for the space group: No. 71. As for the calculated volume: 14.24 A^3/atom. As for the formation energy: 129.6 meV per atom. The total energy is -6.8974 eV per atom.

***

7.
Entry from Alexandria via LeMat-Bulk: a relaxed HgIr2Au crystal (GGA-PBE).

abc: 4.961 4.961 4.977
angles: 80.58 80.58 33.66
Element x y z (fractional)
1 Ir 0.001 0.001 0.990
2 Ir 0.499 0.499 0.510
3 Hg 0.250 0.250 0.250
4 Au 0.750 0.750 0.750

Results
As for the space group: No. 12. As for the calculated volume: 16.72 A^3/atom. As for the formation energy: 449.4 meV per atom. The total energy is -4.8759 eV per atom.

***

8.
Entry from Alexandria via LeMat-Bulk: a relaxed HfSi2P crystal (GGA-PBE).

abc: 7.112 7.112 5.673
angles: 51.18 51.18 90.00
Element x y z (fractional)
1 Si 0.592 0.125 0.250
2 Si 0.375 0.408 0.750
3 Si 0.158 0.625 0.250
4 Si 0.875 0.842 0.750
5 P 0.250 0.750 0.500
6 P 0.500 0.500 0.000
7 Hf 0.000 0.000 0.000
8 Hf 0.750 0.250 0.500

Results
As for the space group: No. 122. As for the calculated volume: 16.60 A^3/atom. The energy relative to the elements, uncorrected is -0.01 eV per atom. The total energy is -6.5622 eV per atom.

***

9.
Entry from Alexandria via LeMat-Bulk: a relaxed Pa4PS6 crystal (GGA-PBE).

abc: 6.569 9.101 9.101
angles: 90.00 90.00 90.00
Last column: magnetic moment on the atom in μB.
Element x y z (fractional)
1 Pa 0.300 0.000 0.263  1.12
2 Pa 0.700 0.737 0.000  1.12
3 Pa 0.200 0.500 0.763  1.12
4 Pa 0.200 0.500 0.237  1.12
5 Pa 0.800 0.763 0.500  1.12
6 Pa 0.300 0.000 0.737  1.12
7 Pa 0.800 0.237 0.500  1.12
8 Pa 0.700 0.263 0.000  1.12
9 S 0.500 0.716 0.716  -0.04
10 S 0.500 0.284 0.284  -0.04
11 S 0.000 0.784 0.784  -0.04
12 S 0.447 0.500 0.000  -0.04
13 S 0.500 0.284 0.716  -0.04
14 S 0.000 0.784 0.216  -0.04
15 S 0.947 0.500 0.000  -0.04
16 S 0.500 0.716 0.284  -0.04
17 S 0.000 0.216 0.784  -0.04
18 S 0.053 0.000 0.500  -0.04
19 S 0.553 0.000 0.500  -0.04
20 S 0.000 0.216 0.216  -0.04
21 P 0.500 0.000 0.000  -0.04
22 P 0.000 0.500 0.500  -0.04

Results
As for the space group: No. 137. As for the calculated volume: 24.73 A^3/atom. The energy relative to the elements, uncorrected is -1.44 eV per atom. The total energy is -7.6335 eV per atom. As for the energy above the lowest structure with this stoichiometry: 0.082 eV/atom.

***

10.
Entry from Alexandria via LeMat-Bulk: a relaxed CsBaTlS3 crystal (GGA-PBE).

abc: 5.453 8.919 9.272
angles: 103.44 90.00 107.80
Element x y z (fractional)
1 S 0.856 0.713 0.219
2 S 0.503 0.007 0.281
3 S 0.160 0.320 0.351
4 S 0.840 0.680 0.649
5 S 0.144 0.287 0.781
6 S 0.497 0.993 0.719
7 Ba 0.646 0.293 0.570
8 Ba 0.354 0.707 0.430
9 Cs 0.351 0.703 0.935
10 Cs 0.649 0.297 0.065
11 Tl 0.993 0.985 0.723
12 Tl 0.007 0.015 0.277

Results
As for the space group: No. 12. As for the calculated volume: 34.70 A^3/atom. The energy relative to the elements, uncorrected is -0.99 eV per atom. The total energy is -3.9133 eV per atom.

***

11.
Entry from Alexandria via LeMat-Bulk: a relaxed BPtW3 crystal (GGA-PBE).

abc: 4.180 4.180 4.180
angles: 90.00 90.00 90.00
Element x y z (fractional)
1 W 0.000 0.500 0.000
2 W 0.000 0.000 0.500
3 W 0.500 0.000 0.000
4 Pt 0.500 0.500 0.500
5 B 0.000 0.000 0.000

Results
As for the space group: No. 221. As for the calculated volume: 14.60 A^3/atom. As for the formation energy: 102.6 meV per atom. The total energy is -10.2129 eV per atom. As for the energy above the lowest structure with this stoichiometry: 0.000 eV/atom.

***

12.
Entry from Alexandria via LeMat-Bulk: a relaxed RuBrN2F crystal (GGA-PBE).

abc: 3.930 3.930 4.454
angles: 90.00 90.00 90.00
Last column: magnetic moment on the atom in μB.
Element x y z (fractional)
1 N 0.500 0.000 0.000  0.28
2 N 0.000 0.500 0.000  0.28
3 Br 0.000 0.000 0.000  0.04
4 Ru 0.500 0.500 0.500  3.10
5 F 0.000 0.000 0.500  0.07

Results
As for the space group: No. 123. As for the calculated volume: 13.76 A^3/atom. The energy relative to the elements, uncorrected is 2.17 eV per atom. The total energy is -3.7241 eV per atom. As for the energy above the lowest structure with this stoichiometry: 1.523 eV/atom.

***

13.
Entry from Alexandria via LeMat-Bulk: a relaxed Cs2PmPd3F12 crystal (GGA-PBE).

abc: 7.759 7.759 7.759
angles: 62.64 62.64 62.64
Last column: magnetic moment on the atom in μB.
Element x y z (fractional)
1 Pm 0.000 0.000 0.000  0.01
2 Pd 0.500 0.000 0.000  0.32
3 Pd 0.000 0.000 0.500  0.32
4 Pd 0.000 0.500 0.000  0.32
5 F 0.349 0.905 0.905  0.04
6 F 0.651 0.095 0.095  0.04
7 F 0.095 0.651 0.095  0.04
8 F 0.905 0.349 0.905  0.04
9 F 0.298 0.919 0.298  0.01
10 F 0.702 0.081 0.702  0.01
11 F 0.702 0.702 0.081  0.01
12 F 0.919 0.298 0.298  0.01
13 F 0.298 0.298 0.919  0.01
14 F 0.095 0.095 0.651  0.04
15 F 0.081 0.702 0.702  0.01
16 F 0.905 0.905 0.349  0.04
17 Cs 0.618 0.618 0.618  0.00
18 Cs 0.382 0.382 0.382  0.00

Results
As for the space group: No. 166. As for the calculated volume: 19.43 A^3/atom. The energy relative to the elements, uncorrected is -2.19 eV per atom. The total energy is -4.6615 eV per atom.

***

14.
Entry from Alexandria via LeMat-Bulk: a relaxed TlAsP crystal (GGA-PBE).

abc: 6.400 6.400 6.400
angles: 149.13 149.13 44.21
Element x y z (fractional)
1 Tl 0.671 0.671 0.000
2 As 0.953 0.953 0.000
3 P 0.376 0.376 0.000

Results
As for the space group: No. 107. As for the calculated volume: 22.93 A^3/atom. As for the formation energy: 173.8 meV per atom. The total energy is -3.9681 eV per atom. As for the energy above the lowest structure with this stoichiometry: 0.115 eV/atom.

***

15.
Entry from Alexandria via LeMat-Bulk: a relaxed AgAs2Pt crystal (GGA-PBE).

abc: 6.053 6.053 5.041
angles: 63.58 63.58 28.99
Element x y z (fractional)
1 Pt 0.443 0.443 0.376
2 As 0.030 0.030 0.934
3 As 0.840 0.840 0.837
4 Ag 0.186 0.186 0.353

Results
As for the space group: No. 8. As for the calculated volume: 19.87 A^3/atom. As for the formation energy: -23.1 meV per atom. The total energy is -4.5709 eV per atom. As for the energy above the lowest structure with this stoichiometry: 0.035 eV/atom.

***

16.
Entry from Alexandria via LeMat-Bulk: a relaxed CsCe3F10 crystal (GGA-PBE).

abc: 8.746 8.746 8.746
angles: 60.00 60.00 60.00
Last column: magnetic moment on the atom in μB.
Element x y z (fractional)
1 F 0.610 0.170 0.610  0.00
2 F 0.671 0.329 0.000  -0.01
3 F 0.000 0.000 0.329  -0.01
4 F 0.329 0.000 0.000  -0.01
5 F 0.000 0.671 0.329  -0.01
6 F 0.610 0.610 0.170  0.00
7 F 0.000 0.329 0.000  -0.01
8 F 0.000 0.000 0.671  -0.01
9 F 0.390 0.830 0.390  0.00
10 F 0.170 0.610 0.610  0.00
11 F 0.610 0.610 0.610  0.00
12 F 0.329 0.671 0.000  -0.01
13 F 0.000 0.329 0.671  -0.01
14 F 0.671 0.000 0.329  -0.01
15 F 0.390 0.390 0.390  0.00
16 F 0.329 0.000 0.671  -0.01
17 F 0.390 0.390 0.830  0.00
18 F 0.671 0.000 0.000  -0.01
19 F 0.000 0.671 0.000  -0.01
20 F 0.830 0.390 0.390  0.00
21 Cs 0.250 0.250 0.250  0.00
22 Cs 0.750 0.750 0.750  0.00
23 Ce 0.740 0.260 0.260  0.97
24 Ce 0.740 0.740 0.260  0.97
25 Ce 0.740 0.260 0.740  0.97
26 Ce 0.260 0.260 0.740  0.97
27 Ce 0.260 0.740 0.740  0.97
28 Ce 0.260 0.740 0.260  0.97

Results
As for the space group: No. 225. As for the calculated volume: 16.89 A^3/atom. The energy relative to the elements, uncorrected is -3.84 eV per atom. The total energy is -6.5067 eV per atom.

***

17.
Entry from Alexandria via LeMat-Bulk: a relaxed PaTi2V crystal (GGA-PBE).

abc: 4.807 3.866 3.866
angles: 90.00 90.00 90.00
Element x y z (fractional)
1 Ti 0.000 0.000 0.500
2 Ti 0.000 0.500 0.000
3 V 0.500 0.000 0.000
4 Pa 0.500 0.500 0.500

Results
As for the space group: No. 123. As for the calculated volume: 17.96 A^3/atom. As for the formation energy: 204.0 meV per atom. The total energy is -8.3971 eV per atom. As for the energy above the lowest structure with this stoichiometry: 0.093 eV/atom.

***

18.
Entry from Alexandria via LeMat-Bulk: a relaxed Tl4Hg2Bi3 crystal (GGA-PBE).

abc: 5.531 5.444 10.734
angles: 90.62 89.15 60.02
Element x y z (fractional)
1 Tl 0.666 0.667 0.882
2 Tl 0.001 0.999 0.677
3 Tl 0.334 0.333 0.118
4 Tl 0.999 0.001 0.323
5 Bi 0.333 0.334 0.450
6 Bi 0.000 0.000 0.000
7 Bi 0.667 0.666 0.550
8 Hg 0.667 0.667 0.217
9 Hg 0.333 0.333 0.783

Results
As for the space group: No. 2. As for the calculated volume: 31.09 A^3/atom. As for the formation energy: -13.0 meV per atom. The total energy is -2.4254 eV per atom.

***

19.
Entry from Alexandria via LeMat-Bulk: a relaxed RbCoSeCl6 crystal (GGA-PBE).

abc: 8.388 6.593 7.889
angles: 57.09 76.56 61.17
Last column: magnetic moment on the atom in μB.
Element x y z (fractional)
1 Cl 0.705 0.299 0.713  0.22
2 Cl 0.425 0.695 0.269  0.14
3 Cl 0.905 0.543 0.218  0.17
4 Cl 0.278 0.914 0.748  0.05
5 Cl 0.104 0.549 0.642  0.04
6 Cl 0.613 0.006 0.376  0.15
7 Se 0.331 0.273 0.542  0.19
8 Co 0.668 0.624 0.403  2.59
9 Rb 0.970 0.097 0.089  0.00

Results
As for the space group: No. 1. As for the calculated volume: 35.62 A^3/atom. The energy relative to the elements, uncorrected is -0.76 eV per atom. The total energy is -3.2786 eV per atom.

***

20.
Entry from Alexandria via LeMat-Bulk: a relaxed As2PdPtBr crystal (GGA-PBE).

abc: 4.837 4.837 5.273
angles: 90.00 90.00 90.00
Element x y z (fractional)
1 As 0.000 0.500 0.000
2 As 0.500 0.000 0.000
3 Br 0.000 0.000 0.500
4 Pt 0.000 0.000 0.000
5 Pd 0.500 0.500 0.500

Results
As for the space group: No. 123. As for the calculated volume: 24.67 A^3/atom. The energy relative to the elements, uncorrected is 0.66 eV per atom. The total energy is -3.7856 eV per atom. As for the energy above the lowest structure with this stoichiometry: 0.000 eV/atom.

***

| no. | mass density (g/cm3) |
| --- | --- |
| 1 | 2.07 |
| 2 | 12.15 |
| 3 | 8.84 |
| 4 | 8.83 |
| 5 | 7.17 |
| 6 | 8.13 |
| 7 | 19.41 |
| 8 | 6.64 |
| 9 | 7.00 |
| 10 | 4.55 |
| 11 | 17.23 |
| 12 | 5.50 |
| 13 | 4.55 |
| 14 | 7.49 |
| 15 | 9.46 |
| 16 | 5.22 |
| 17 | 8.73 |
| 18 | 10.95 |
| 19 | 2.26 |
| 20 | 7.15 |